Record 1
A relaxed V2NiSe4 crystal. Source: the Alexandria database, functional PBE.

Output
Offset from the most stable computed form (kcal/mol of atoms): 1.74
E_form (uncorrected) (eV per atom): -0.52
E (eV per cell): -41.6

a = 3.576 Å, b = 3.576 Å, c = 12.006 Å
α = 90.17°, β = 90.17°, γ = 60.03°
Sites, in units of the cell vectors:
V 0.002 0.002 0.245
V 0.998 0.998 0.755
Ni 0.000 0.000 0.000
Se 0.331 0.331 0.636
Se 0.334 0.334 0.115
Se 0.666 0.666 0.885
Se 0.669 0.669 0.364


Record 2
A relaxed Ti5OsRh4 crystal. Source: the Alexandria database, functional PBE.

Output
ΔE_f (eV per atom): -0.73
E (eV per cell): -87.4

a = 3.140 Å, b = 3.140 Å, c = 15.174 Å
α = 90.00°, β = 90.00°, γ = 90.00°
Sites, in units of the cell vectors:
Ti 0.000 0.000 0.000
Ti 0.000 0.000 0.199
Ti 0.000 0.000 0.401
Ti 0.000 0.000 0.599
Ti 0.000 0.000 0.801
Os 0.500 0.500 0.500
Rh 0.500 0.500 0.100
Rh 0.500 0.500 0.299
Rh 0.500 0.500 0.701
Rh 0.500 0.500 0.900


Record 3
A relaxed Zr2CrTe crystal. Source: the Alexandria database, functional PBE.

Output
E_form (uncorrected) (eV per atom): 0.19
E (eV per cell): -29.1

a = 4.849 Å, b = 4.849 Å, c = 4.849 Å
α = 60.00°, β = 60.00°, γ = 60.00°
Sites, in units of the cell vectors:
Zr 0.000 0.000 0.000
Zr 0.250 0.250 0.250
Cr 0.750 0.750 0.750
Te 0.500 0.500 0.500


Among the records above, which one has the lowest E? Ti5OsRh4